The following is a GGA-PBEsol calculation of a relaxed YS2IN crystal, from Alexandria via LeMat-Bulk.

a = 5.0658 Å, b = 5.0658 Å, c = 3.9900 Å
α = 90.00°, β = 90.00°, γ = 90.00°
With the nearest neighbours (Å) after each atom.
Space group P4/mmm (No. 123)
Unique sites:
Y1 0.0000 0.0000 0.0000 [1 per cell]  8 S 3.22, 4 N 3.58
S1 0.0000 0.5000 0.5000 [2 per cell]  2 I 2.53
I1 0.5000 0.5000 0.5000 [1 per cell]  2 N 1.99
N1 0.5000 0.5000 0.0000 [1 per cell]  2 I 1.99

Results
Density: 4.77 Mg/m³
Formation energy from raw total energies: 0.31 eV per atom



The following is a GGA-PBEsol calculation of a relaxed FeAsSe2 crystal, from Alexandria via LeMat-Bulk.

a = 3.2672 Å, b = 3.2672 Å, c = 6.6913 Å
α = 90.00°, β = 90.00°, γ = 90.00°
With the nearest neighbours (Å) after each atom.
Space group P4mm (No. 99)
Unique sites:
Fe1 0.0000 0.0000 0.0000 [1 per cell]  4 As 2.63, 5 Se 2.64-2.68
As1 0.5000 0.5000 0.8111 [1 per cell]  5 Se 2.62-2.69, 4 Fe 2.63
Se1 0.0000 0.0000 0.6051 [1 per cell]  1 Fe 2.64, 4 As 2.69
Se2 0.5000 0.5000 0.2021 [1 per cell]  1 As 2.62, 4 Fe 2.68

Results
Density: 6.71 Mg/m³
Formation energy from raw total energies: 0.17 eV per atom



Repeat the second record exactly.
The following is a GGA-PBEsol calculation of a relaxed FeAsSe2 crystal, from Alexandria via LeMat-Bulk.

a = 3.2672 Å, b = 3.2672 Å, c = 6.6913 Å
α = 90.00°, β = 90.00°, γ = 90.00°
With the nearest neighbours (Å) after each atom.
Space group P4mm (No. 99)
Unique sites:
Fe1 0.0000 0.0000 0.0000 [1 per cell]  4 As 2.63, 5 Se 2.64-2.68
As1 0.5000 0.5000 0.8111 [1 per cell]  5 Se 2.62-2.69, 4 Fe 2.63
Se1 0.0000 0.0000 0.6051 [1 per cell]  1 Fe 2.64, 4 As 2.69
Se2 0.5000 0.5000 0.2021 [1 per cell]  1 As 2.62, 4 Fe 2.68

Results
Density: 6.71 Mg/m³
Formation energy from raw total energies: 0.17 eV per atom



Q: The lowest formation energy from raw total energies belongs to which entry?
A: FeAsSe2